Pd4Pt2Cl: relaxed, PBE.

Unit cell a=4.6046 b=4.6046 c=7.0857 alpha=71.04 beta=71.04 gamma=90.00
Closest atoms and distances in Å follow each position.
Sites, in units of the cell vectors:
Pd 0.5000 0.0000 0.0000  2 Cl 2.30
Pd 0.1860 0.1860 0.6280  1 Cl 2.34, 1 Pt 2.54
Pd 0.0000 0.5000 0.0000  2 Cl 2.30
Pd 0.8140 0.8140 0.3720  1 Cl 2.34, 1 Pt 2.54
Pt 0.6125 0.6125 0.7749  5 Pd 2.54-2.70, 1 Pt 2.83
Pt 0.3875 0.3875 0.2251  5 Pd 2.54-2.70, 1 Pt 2.83
Cl 0.0000 0.0000 0.0000  6 Pd 2.30-2.34

size of the total moment	0.000	μB per atom
space-group type	I4/mmm (139)
V	19.06	Å³/atom
raw total energy	-4.353	eV/atom
uncorrected formation energy	0.60	eV per atom
crystal system	tetragonal

PdPt3Cl: relaxed, PBE.

Unit cell a=4.4975 b=4.4975 c=4.4975 alpha=90.00 beta=90.00 gamma=90.00
Closest atoms and distances in Å follow each position.
Sites, in units of the cell vectors:
Pd 0.5000 0.5000 0.5000  12 Pt 3.18
Pt 0.0000 0.0000 0.5000  2 Cl 2.25
Pt 0.5000 0.0000 0.0000  2 Cl 2.25
Pt 0.0000 0.5000 0.0000  2 Cl 2.25
Cl 0.0000 0.0000 0.0000  6 Pt 2.25

size of the total moment	0.000	μB per atom
space-group type	Pm-3m (221)
V	18.19	Å³/atom
raw total energy	-4.049	eV/atom
ΔE to the lowest computed polymorph	0	meV/atom
uncorrected formation energy	0.98	eV per atom
crystal system	cubic